(1)
{"formula": "Pr2CdSn4", "functional": "GGA-PBE", "state": "optimized geometry", "cell": [[4.6511, -4.6591, 0.0000], [4.6511, 4.6591, 0.0000], [-4.6372, 0.0000, 4.7218]], "species": ["Pr", "Pr", "Cd", "Sn", "Sn", "Sn", "Sn"], "fractional_positions": [[0.0000, 0.5000, 0.0000], [0.5000, 0.0000, 0.0000], [0.0000, 0.0000, 0.0000], [0.0000, 0.0000, 0.5000], [0.0000, 0.5000, 0.5000], [0.5000, 0.0000, 0.5000], [0.5000, 0.5000, 0.5000]], "n_ef_per_ev_fu": 4.73, "relative_energy_kj_per_mol_atoms": 0.0, "delta_e_f_ev_per_atom": -0.474}

(2)
{"formula": "PuAg5Te6", "functional": "GGA-PBE", "state": "optimized geometry", "cell": [[3.7901, -6.1572, 0.0000], [3.7901, 6.1572, 0.0000], [-2.3644, 0.0000, 6.8722]], "species": ["Pu", "Ag", "Ag", "Ag", "Ag", "Ag", "Te", "Te", "Te", "Te", "Te", "Te"], "fractional_positions": [[0.0000, 0.0000, 0.0000], [0.1432, 0.8568, 0.5000], [0.3203, 0.6797, 0.0000], [0.5000, 0.5000, 0.5000], [0.6797, 0.3203, 0.0000], [0.8568, 0.1432, 0.5000], [0.0687, 0.4110, 0.2726], [0.2906, 0.2906, 0.7780], [0.4110, 0.0687, 0.2726], [0.5890, 0.9313, 0.7274], [0.7094, 0.7094, 0.2220], [0.9313, 0.5890, 0.7274]], "n_ef_per_ev_fu": 15.68, "e_form_raw_ev_per_fu": -2.19}

(3)
{"formula": "TaSiN2F", "functional": "GGA-PBE", "state": "optimized geometry", "cell": [[4.1011, 0.0000, 0.0000], [0.0000, 4.1011, 0.0000], [0.0000, 0.0000, 3.9841]], "species": ["Ta", "Si", "N", "N", "F"], "fractional_positions": [[0.0000, 0.0000, 0.0000], [0.5000, 0.5000, 0.5000], [0.0000, 0.5000, 0.0000], [0.5000, 0.0000, 0.0000], [0.0000, 0.0000, 0.5000]], "n_ef_per_ev_fu": 0.67, "relative_energy_kj_per_mol_atoms": 0.0, "e_form_raw_ev_per_fu": -1.63}